Record 1
4
Lattice="3.231 0.000 0.000 1.616 2.798 0.000 1.616 0.933 6.079" Properties=species:S:1:pos:R:3 comment="PBE-GGA SrWC2, optimized geometry" e_form_kj_per_mol_atoms=42 sg="R-3m, No. 166" de_polymorph_ev_per_atom=0.1957 dos_at_fermi_per_ev_atom=0.194 pbc="T T T"
C 4.847 2.798 4.931
W 0.000 0.000 0.000
Sr 3.231 1.866 3.039
C 1.616 0.933 1.148

Record 2
5
Lattice="4.174 0.000 0.000 0.000 4.174 0.000 0.000 0.000 4.174" Properties=species:S:1:pos:R:3 comment="PBE-GGA SrWC3, optimized geometry" e_form_kj_per_mol_atoms=86 sg="Pm-3m, No. 221" de_polymorph_ev_per_atom=0.0000 dos_at_fermi_per_ev_atom=0.807 pbc="T T T"
Sr 2.087 2.087 2.087
C 0.000 2.087 0.000
W 0.000 0.000 0.000
C 0.000 0.000 2.087
C 2.087 0.000 0.000

Record 3
10
Lattice="6.855 0.000 0.000 0.000 6.855 0.000 0.000 0.000 2.937" Properties=species:S:1:pos:R:3 comment="PBE-GGA SrW2C2, optimized geometry" e_form_kj_per_mol_atoms=115 sg="P4/mbm, No. 127" de_polymorph_ev_per_atom=0.9245 dos_at_fermi_per_ev_atom=0.766 pbc="T T T"
C 4.282 0.854 0.000
C 6.001 4.282 0.000
C 2.573 6.001 0.000
W 0.892 4.319 1.468
W 2.536 0.892 1.468
Sr 0.000 0.000 0.000
Sr 3.427 3.427 0.000
C 0.854 2.573 0.000
W 5.963 2.536 1.468
W 4.319 5.963 1.468

Record 4
8
Lattice="5.765 0.000 0.000 0.000 5.765 0.000 2.883 2.883 4.325" Properties=species:S:1:pos:R:3 comment="PBE-GGA SrWC2, optimized geometry" e_form_kj_per_mol_atoms=23 sg="I-42d, No. 122" de_polymorph_ev_per_atom=0.0000 dos_at_fermi_per_ev_atom=0.000 pbc="T T T"
W 5.765 2.883 2.162
W 0.000 0.000 0.000
C 7.207 7.842 3.243
C 4.324 3.689 3.243
Sr 2.883 5.765 2.162
C 0.806 4.324 1.081
C 4.959 1.441 1.081
Sr 2.883 2.883 0.000

Record 5
5
Lattice="-1.546 -0.365 3.760 -2.801 -2.615 -1.405 1.299 -5.755 2.191" Properties=species:S:1:pos:R:3 comment="PBE-GGA SrW2C2, optimized geometry" e_form_kj_per_mol_atoms=25 sg="I4/mmm, No. 139" de_polymorph_ev_per_atom=0.0000 dos_at_fermi_per_ev_atom=0.374 pbc="T T T"
Sr 0.000 0.000 0.000
W -1.210 -3.805 3.564
C -2.302 -5.492 2.952
C -0.747 -3.243 1.594
W -1.838 -4.930 0.982

Record 6
5
Lattice="5.595 0.000 0.000 0.000 5.595 0.000 0.000 0.000 5.595" Properties=species:S:1:pos:R:3 comment="PBE-GGA Sr3YC, optimized geometry" e_form_kj_per_mol_atoms=53 sg="Pm-3m, No. 221" de_polymorph_ev_per_atom=0.0000 dos_at_fermi_per_ev_atom=1.079 pbc="T T T"
Sr 0.000 0.000 2.798
Sr 0.000 2.798 0.000
Sr 2.798 0.000 0.000
Y 2.798 2.798 2.798
C 0.000 0.000 0.000

Record 7
5
Lattice="4.572 0.000 0.000 0.000 4.572 0.000 0.000 0.000 4.572" Properties=species:S:1:pos:R:3 comment="PBE-GGA SrYC3, optimized geometry" e_form_kj_per_mol_atoms=164 sg="Pm-3m, No. 221" de_polymorph_ev_per_atom=0.0000 dos_at_fermi_per_ev_atom=0.786 pbc="T T T"
Y 0.000 0.000 0.000
Sr 2.286 2.286 2.286
C 0.000 0.000 2.286
C 0.000 2.286 0.000
C 2.286 0.000 0.000

Record 8
8
Lattice="10.698 0.000 0.000 0.000 10.698 0.000 5.349 5.349 2.375" Properties=species:S:1:pos:R:3 comment="PBE-GGA Sr2YC, optimized geometry" e_form_kj_per_mol_atoms=43 sg="I-42d, No. 122" dos_at_fermi_per_ev_atom=1.443 pbc="T T T"
Sr 4.421 8.024 0.594
Sr 8.024 9.770 1.781
Sr 13.373 11.626 1.781
Y 0.000 0.000 0.000
Y 10.698 5.349 1.187
C 5.349 10.698 1.187
C 5.349 5.349 0.000
Sr 6.277 2.675 0.594

Record 9
5
Lattice="-2.502 2.183 -2.975 1.660 -2.544 -3.263 -3.296 -2.939 0.615" Properties=species:S:1:pos:R:3 comment="PBE-GGA SrYC3, optimized geometry" e_form_kj_per_mol_atoms=239 sg="Pm-3m, No. 221" de_polymorph_ev_per_atom=0.7751 dos_at_fermi_per_ev_atom=0.534 pbc="T T T"
C -1.251 1.092 -1.487
C 0.830 -1.272 -1.631
Y -2.069 -1.650 -2.811
Sr 0.000 0.000 0.000
C -1.648 -1.469 0.307

Record 10
4
Lattice="0.000 3.215 3.215 3.215 0.000 3.215 3.215 3.215 0.000" Properties=species:S:1:pos:R:3 comment="PBE-GGA SrYC2, optimized geometry" e_form_kj_per_mol_atoms=98 sg="Fm-3m, No. 225" de_polymorph_ev_per_atom=0.0923 dos_at_fermi_per_ev_atom=0.875 pbc="T T T"
Y 3.215 3.215 3.215
C 1.608 1.608 1.608
Sr 0.000 0.000 0.000
C 4.823 4.823 4.823

Record 11
8
Lattice="6.613 0.000 0.000 0.000 6.613 0.000 3.307 3.307 3.812" Properties=species:S:1:pos:R:3 comment="PBE-GGA SrYC2, optimized geometry" e_form_kj_per_mol_atoms=89 sg="I-42d, No. 122" de_polymorph_ev_per_atom=0.0000 dos_at_fermi_per_ev_atom=0.965 pbc="T T T"
C 4.960 4.704 2.859
C 5.216 1.653 0.953
Y 6.613 3.307 1.906
C 1.398 4.960 0.953
Y 0.000 0.000 0.000
Sr 3.307 3.307 0.000
Sr 3.307 6.613 1.906
C 8.266 8.522 2.859

Record 12
5
Lattice="6.617 0.000 0.000 0.000 6.617 0.000 0.000 0.000 6.617" Properties=species:S:1:pos:R:3 comment="PBE-GGA Sr3YC, optimized geometry" e_form_kj_per_mol_atoms=191 sg="Pm-3m, No. 221" de_polymorph_ev_per_atom=1.4241 dos_at_fermi_per_ev_atom=1.327 pbc="T T T"
Sr 3.309 0.000 0.000
C 3.309 3.309 3.309
Sr 0.000 3.309 0.000
Sr 0.000 0.000 3.309
Y 0.000 0.000 0.000

Record 13
5
Lattice="4.140 0.000 0.000 0.000 4.140 0.000 0.000 0.000 4.140" Properties=species:S:1:pos:R:3 comment="PBE-GGA SrZnC3, optimized geometry" e_form_kj_per_mol_atoms=198 sg="Pm-3m, No. 221" de_polymorph_ev_per_atom=0.0000 dos_at_fermi_per_ev_atom=0.763 pbc="T T T"
Zn 0.000 0.000 0.000
C 0.000 0.000 2.070
C 0.000 2.070 0.000
C 2.070 0.000 0.000
Sr 2.070 2.070 2.070

Record 14
5
Lattice="4.548 0.000 0.000 0.000 4.548 0.000 0.000 0.000 4.548" Properties=species:S:1:pos:R:3 comment="PBE-GGA SrZn3C, optimized geometry" e_form_kj_per_mol_atoms=61 sg="Pm-3m, No. 221" de_polymorph_ev_per_atom=0.0000 dos_at_fermi_per_ev_atom=0.608 pbc="T T T"
C 0.000 0.000 0.000
Zn 2.274 0.000 0.000
Sr 2.274 2.274 2.274
Zn 0.000 0.000 2.274
Zn 0.000 2.274 0.000

Record 15
10
Lattice="7.475 0.000 0.000 0.000 7.475 0.000 0.000 0.000 3.637" Properties=species:S:1:pos:R:3 comment="PBE-GGA Sr2ZnC2, optimized geometry" e_form_kj_per_mol_atoms=12 sg="P4/mbm, No. 127" de_polymorph_ev_per_atom=0.0000 dos_at_fermi_per_ev_atom=0.305 pbc="T T T"
C 0.460 3.278 0.000
Sr 1.661 5.398 1.819
C 4.197 0.460 0.000
Sr 2.077 1.661 1.819
Sr 5.814 2.077 1.819
Zn 3.737 3.737 0.000
C 7.015 4.197 0.000
Zn 0.000 0.000 0.000
C 3.278 7.015 0.000
Sr 5.398 5.814 1.819

Record 16
5
Lattice="5.480 0.000 0.000 0.000 5.480 0.000 2.740 2.740 3.718" Properties=species:S:1:pos:R:3 comment="PBE-GGA Sr2ZnC2, optimized geometry" e_form_kj_per_mol_atoms=33 sg="I4/mmm, No. 139" de_polymorph_ev_per_atom=0.2202 dos_at_fermi_per_ev_atom=0.843 pbc="T T T"
Sr 5.480 2.740 1.859
Zn 0.000 0.000 0.000
C 5.480 5.480 3.075
C 2.740 2.740 0.643
Sr 2.740 5.480 1.859

Record 17
5
Lattice="4.683 0.000 0.000 0.000 4.683 0.000 0.000 0.000 4.683" Properties=species:S:1:pos:R:3 comment="PBE-GGA SrZnC3, optimized geometry" e_form_kj_per_mol_atoms=345 sg="Pm-3m, No. 221" de_polymorph_ev_per_atom=1.5222 dos_at_fermi_per_ev_atom=0.905 pbc="T T T"
C 2.342 0.000 0.000
C 0.000 2.342 0.000
C 0.000 0.000 2.342
Sr 0.000 0.000 0.000
Zn 2.342 2.342 2.342

Record 18
8
Lattice="6.388 0.000 0.000 0.000 6.388 0.000 3.194 3.194 4.528" Properties=species:S:1:pos:R:3 comment="PBE-GGA SrZn2C, optimized geometry" e_form_kj_per_mol_atoms=47 sg="I4_1/amd, No. 141" dos_at_fermi_per_ev_atom=0.418 pbc="T T T"
Zn 3.195 4.791 1.132
Zn 7.985 6.387 3.396
C 3.194 6.388 2.264
C 3.194 3.194 0.000
Zn 3.193 1.597 1.132
Zn 4.791 6.388 3.396
Sr 6.388 3.194 2.264
Sr 0.000 0.000 0.000

Record 19
5
Lattice="-0.101 5.738 2.778 2.685 -2.482 5.223 5.782 1.253 -2.378" Properties=species:S:1:pos:R:3 comment="PBE-GGA SrZn3C, optimized geometry" e_form_kj_per_mol_atoms=192 sg="Pm-3m, No. 221" de_polymorph_ev_per_atom=1.3563 dos_at_fermi_per_ev_atom=0.743 pbc="T T T"
Sr 0.000 0.000 0.000
C 4.183 2.254 2.812
Zn 2.891 0.626 -1.189
Zn 1.343 -1.241 2.612
Zn -0.050 2.869 1.389

Record 20
5
Lattice="-0.681 -3.189 -2.961 4.307 -0.065 -0.920 0.623 -3.038 3.128" Properties=species:S:1:pos:R:3 comment="PBE-GGA SrZrC3, optimized geometry" e_form_kj_per_mol_atoms=113 sg="Pm-3m, No. 221" de_polymorph_ev_per_atom=0.0000 dos_at_fermi_per_ev_atom=0.474 pbc="T T T"
C 0.311 -1.519 1.564
C 2.154 -0.033 -0.460
C -0.341 -1.595 -1.481
Sr 2.124 -3.146 -0.377
Zr 0.000 0.000 0.000

Record 21
5
Lattice="6.421 0.000 0.000 0.000 6.421 0.000 0.000 0.000 6.421" Properties=species:S:1:pos:R:3 comment="PBE-GGA Sr3ZrC, optimized geometry" e_form_kj_per_mol_atoms=200 sg="Pm-3m, No. 221" de_polymorph_ev_per_atom=1.2453 dos_at_fermi_per_ev_atom=0.849 pbc="T T T"
Zr 0.000 0.000 0.000
C 3.210 3.210 3.210
Sr 0.000 0.000 3.210
Sr 3.210 0.000 0.000
Sr 0.000 3.210 0.000

Record 22
5
Lattice="4.797 0.000 0.000 0.000 4.797 0.000 0.000 0.000 4.797" Properties=species:S:1:pos:R:3 comment="PBE-GGA SrZr3C, optimized geometry" e_form_kj_per_mol_atoms=17 sg="Pm-3m, No. 221" de_polymorph_ev_per_atom=0.0000 dos_at_fermi_per_ev_atom=1.214 pbc="T T T"
Zr 2.398 0.000 0.000
C 0.000 0.000 0.000
Zr 0.000 2.398 0.000
Sr 2.398 2.398 2.398
Zr 0.000 0.000 2.398

Record 23
8
Lattice="10.783 0.000 0.000 0.000 10.783 0.000 5.392 5.392 2.195" Properties=species:S:1:pos:R:3 comment="PBE-GGA Sr2ZrC, optimized geometry" e_form_kj_per_mol_atoms=47 sg="I-42d, No. 122" dos_at_fermi_per_ev_atom=1.122 pbc="T T T"
Zr 10.783 5.392 1.097
Sr 8.088 9.878 1.646
C 5.392 10.783 1.097
Sr 6.297 2.696 0.549
Sr 13.479 11.689 1.646
Zr 0.000 0.000 0.000
C 5.392 5.392 0.000
Sr 4.486 8.088 0.549

Record 24
5
Lattice="5.094 0.000 0.000 0.000 5.094 0.000 0.000 0.000 5.094" Properties=species:S:1:pos:R:3 comment="PBE-GGA SrZr3C, optimized geometry" e_form_kj_per_mol_atoms=302 sg="Pm-3m, No. 221" de_polymorph_ev_per_atom=2.9553 dos_at_fermi_per_ev_atom=1.607 pbc="T T T"
Zr 2.547 0.000 0.000
Zr 0.000 0.000 2.547
Zr 0.000 2.547 0.000
C 2.547 2.547 2.547
Sr 0.000 0.000 0.000

Record 25
5
Lattice="-3.992 -1.930 -3.239 0.265 -4.849 2.564 -3.761 1.708 3.618" Properties=species:S:1:pos:R:3 comment="PBE-GGA Sr3ZrC, optimized geometry" e_form_kj_per_mol_atoms=80 sg="Pm-3m, No. 221" de_polymorph_ev_per_atom=0.0000 dos_at_fermi_per_ev_atom=1.252 pbc="T T T"
Sr 0.132 -2.424 1.282
Zr -3.744 -2.536 1.472
C 0.000 0.000 0.000
Sr -1.881 0.854 1.809
Sr -1.996 -0.965 -1.619

Record 26
5
Lattice="-2.900 -3.065 0.805 3.151 -2.675 1.168 -0.332 1.379 4.055" Properties=species:S:1:pos:R:3 comment="PBE-GGA SrZrC3, optimized geometry" e_form_kj_per_mol_atoms=274 sg="Pm-3m, No. 221" de_polymorph_ev_per_atom=1.6656 dos_at_fermi_per_ev_atom=0.642 pbc="T T T"
C 1.576 -1.338 0.584
C -0.166 0.689 2.027
Zr -0.040 -2.181 3.014
C -1.450 -1.532 0.402
Sr 0.000 0.000 0.000

Record 27
8
Lattice="6.948 0.000 0.000 0.000 6.948 0.000 3.474 3.474 4.917" Properties=species:S:1:pos:R:3 comment="PBE-GGA SrZr2C, optimized geometry" e_form_kj_per_mol_atoms=28 sg="Fd-3m, No. 227" dos_at_fermi_per_ev_atom=1.318 pbc="T T T"
C 3.474 6.948 2.459
C 3.474 3.474 0.000
Zr 5.211 6.944 3.688
Sr 6.948 3.474 2.459
Zr 3.470 5.211 1.229
Zr 3.478 1.737 1.229
Sr 0.000 0.000 0.000
Zr 8.685 6.952 3.688

| no. | volume (Å³ per cell) |
| --- | --- |
| 1 | 55.0 |
| 2 | 72.7 |
| 3 | 138.0 |
| 4 | 143.7 |
| 5 | 93.2 |
| 6 | 175.2 |
| 7 | 95.6 |
| 8 | 271.8 |
| 9 | 88.6 |
| 10 | 66.5 |
| 11 | 166.7 |
| 12 | 289.8 |
| 13 | 71.0 |
| 14 | 94.1 |
| 15 | 203.2 |
| 16 | 111.7 |
| 17 | 102.7 |
| 18 | 184.7 |
| 19 | 259.2 |
| 20 | 85.5 |
| 21 | 264.7 |
| 22 | 110.4 |
| 23 | 255.2 |
| 24 | 132.2 |
| 25 | 165.6 |
| 26 | 79.3 |
| 27 | 237.4 |